Dy5Tm2Sc5 | GGA-PBE | relaxed

The structure in CIF format:
```
data_Dy5Tm2Sc5
_cell_length_a 11.512
_cell_length_b 5.380
_cell_length_c 11.523
_cell_angle_alpha 90.00
_cell_angle_beta 108.93
_cell_angle_gamma 90.00
_space_group_name_H-M_alt 'C 1 2/m 1'
_space_group_IT_number 12
_space_group_name_Hall '-C 2y'
loop_
_atom_site_label
_atom_site_fract_x
_atom_site_fract_y
_atom_site_fract_z
Dy1 0.000 0.000 0.000
Dy2 0.039 0.000 0.709
Dy3 0.248 0.500 0.755
Tm1 0.212 0.000 0.545
Sc1 0.000 0.500 0.500
Sc2 0.041 0.500 0.202
Sc3 0.207 0.500 0.040
```

Computed properties:
total energy = -62.6 eV/f.u.
ΔE_f = 82 meV/atom
volume = 675 Å³ per cell
relative energy among the computed polymorphs = 0.032 eV per atom